1.
Ta2TlIr | PBE-GGA | relaxed

a b c (Å): 7.580 7.580 6.074
angles (deg): 51.40 51.40 90.00
Positions (direct):
Ir  0.500  0.500  0.000
Ir  0.250  0.750  0.500
Ta  0.375  0.423  0.750
Ta  0.577  0.125  0.250
Ta  0.875  0.827  0.750
Ta  0.173  0.625  0.250
Tl  0.750  0.250  0.500
Tl  0.000  0.000  0.000

Values from the calculation:
offset from the most stable computed form = 473 meV/atom
V = 164.2 Å³ per cell
space-group type = No. 122

***

2.
K3MnSe3 | PBE-GGA | relaxed

a b c (Å): 5.610 7.885 7.885
angles (deg): 114.56 103.72 103.72
Positions (direct):
K  0.028  0.000  0.525
K  0.028  0.525  0.000
K  0.503  0.475  0.475
Se  0.452  0.000  0.306
Se  0.146  0.694  0.694
Se  0.452  0.306  0.000
Mn  0.365  0.000  0.000

Values from the calculation:
offset from the most stable computed form = 121 meV/atom
V = 285.1 Å³ per cell
E_form (uncorrected) = -832 meV per atom
space-group type = No. 160

***

3.
Y2FeCl2 | PBE-GGA | relaxed

a b c (Å): 8.094 8.094 3.306
angles (deg): 90.00 90.00 90.00
Positions (direct):
Cl  0.126  0.626  0.500
Cl  0.374  0.126  0.500
Cl  0.626  0.874  0.500
Cl  0.874  0.374  0.500
Y  0.177  0.323  0.000
Y  0.677  0.177  0.000
Y  0.823  0.677  0.000
Y  0.323  0.823  0.000
Fe  0.000  0.000  0.000
Fe  0.500  0.500  0.000

Values from the calculation:
offset from the most stable computed form = 82 meV/atom
V = 216.6 Å³ per cell
E_form (uncorrected) = -433 meV per atom
space-group type = No. 127

***

4.
Ac4InTe2As | PBE-GGA | relaxed

a b c (Å): 4.632 8.236 8.270
angles (deg): 108.66 90.00 90.00
Positions (direct):
Ac  0.000  0.247  0.761
Ac  0.000  0.753  0.239
Ac  0.500  0.236  0.228
Ac  0.500  0.764  0.772
Te  0.500  0.000  0.500
Te  0.000  0.500  0.500
As  0.000  0.000  0.000
In  0.500  0.500  0.000

Values from the calculation:
V = 298.9 Å³ per cell
E_form (uncorrected) = -1211 meV per atom
space-group type = No. 10

***

no.,uncorrected energy (eV/cell)
1,-66.1
2,-28.7
3,-54.5
4,-39.8